# ZnRhNO2 | Alexandria | PBE | optimized geometry
# ΔE_f (raw) in eV/atom: 0.297
# DOS(E_F) in states/eV/f.u.: 4.19
# Spin magnetization in μB per atom: 0.000
data_ZnRhNO2
_space_group_name_H-M_alt 'P 4/m m m'
_space_group_IT_number 123
_space_group_name_Hall '-P 4 2'
_cell_length_a 4.077
_cell_length_b 4.077
_cell_length_c 3.635
_cell_angle_alpha 90.00
_cell_angle_beta 90.00
_cell_angle_gamma 90.00
loop_
_atom_site_label
_atom_site_fract_x
_atom_site_fract_y
_atom_site_fract_z
Zn1 0.000 0.000 0.000
Rh1 0.500 0.500 0.500
N1 0.500 0.500 0.000
O1 0.000 0.500 0.500



# ZnRhN2O | Alexandria | PBE | optimized geometry
# ΔE_f (raw) in eV/atom: 0.930
# DOS(E_F) in states/eV/f.u.: 2.19
# Spin magnetization in μB per atom: 0.000
data_ZnRhN2O
_space_group_name_H-M_alt 'P 4/m m m'
_space_group_IT_number 123
_space_group_name_Hall '-P 4 2'
_cell_length_a 3.754
_cell_length_b 3.754
_cell_length_c 4.345
_cell_angle_alpha 90.00
_cell_angle_beta 90.00
_cell_angle_gamma 90.00
loop_
_atom_site_label
_atom_site_fract_x
_atom_site_fract_y
_atom_site_fract_z
Zn1 0.000 0.000 0.000
Rh1 0.500 0.500 0.500
N1 0.000 0.500 0.500
O1 0.500 0.500 0.000



# ZnRhN2O | Alexandria | PBE | optimized geometry
# ΔE_f (raw) in eV/atom: 1.579
# DOS(E_F) in states/eV/f.u.: 4.24
# Spin magnetization in μB per atom: 0.000
data_ZnRhN2O
_space_group_name_H-M_alt 'P 4/m m m'
_space_group_IT_number 123
_space_group_name_Hall '-P 4 2'
_cell_length_a 3.814
_cell_length_b 3.814
_cell_length_c 3.803
_cell_angle_alpha 90.00
_cell_angle_beta 90.00
_cell_angle_gamma 90.00
loop_
_atom_site_label
_atom_site_fract_x
_atom_site_fract_y
_atom_site_fract_z
Zn1 0.000 0.000 0.000
Rh1 0.500 0.500 0.500
N1 0.000 0.500 0.000
O1 0.000 0.000 0.500